! GGA-PBE LaY4Ag, relaxed; values from VASP
&SYSTEM
  ibrav = 0, nat = 6, ntyp = 3
/
ATOMIC_SPECIES
La 138.91 La.upf
Y 88.91 Y.upf
Ag 107.87 Ag.upf
CELL_PARAMETERS angstrom
0.0000 4.6072 4.6072
4.6072 0.0000 4.6072
4.6072 4.6072 0.0000
ATOMIC_POSITIONS angstrom
La 0.0000 0.0000 0.0000
Y 5.7610 3.4534 3.4534
Y 3.4534 5.7610 3.4534
Y 3.4534 3.4534 5.7610
Y 5.7610 5.7610 5.7610
Ag 2.3036 2.3036 2.3036
! Theoretical density (g/cm³): 5.1
! E (eV per formula unit): -31.39
! DOS(E_F) (states/eV per atom): 1.771

---

! GGA-PBE LaY3Ag, relaxed; values from VASP
&SYSTEM
  ibrav = 0, nat = 5, ntyp = 3
/
ATOMIC_SPECIES
La 138.91 La.upf
Y 88.91 Y.upf
Ag 107.87 Ag.upf
CELL_PARAMETERS angstrom
5.5995 0.0000 0.0000
0.0000 5.5995 0.0000
0.0000 0.0000 5.5995
ATOMIC_POSITIONS angstrom
La 0.0000 0.0000 0.0000
Y 0.0000 2.7998 2.7998
Y 2.7998 0.0000 2.7998
Y 2.7998 2.7998 0.0000
Ag 2.7998 2.7998 2.7998
! Theoretical density (g/cm³): 4.9
! E (eV per formula unit): -26.41
! DOS(E_F) (states/eV per atom): 1.875

---

! GGA-PBE LaY2Ag, relaxed; values from VASP
&SYSTEM
  ibrav = 0, nat = 4, ntyp = 3
/
ATOMIC_SPECIES
La 138.91 La.upf
Y 88.91 Y.upf
Ag 107.87 Ag.upf
CELL_PARAMETERS angstrom
6.3305 -1.8968 0.0000
6.3305 1.8968 0.0000
-2.3674 0.0000 4.9374
ATOMIC_POSITIONS angstrom
La 0.0000 0.0000 0.0000
Y 5.8170 0.0000 2.7925
Y 9.2394 0.0000 1.3925
Ag 1.6097 0.0000 3.7965
! Theoretical density (g/cm³): 5.9
! E (eV per formula unit): -21.06
! DOS(E_F) (states/eV per atom): 1.572

---

! GGA-PBE LaY2Ag, relaxed; values from VASP
&SYSTEM
  ibrav = 0, nat = 4, ntyp = 3
/
ATOMIC_SPECIES
La 138.91 La.upf
Y 88.91 Y.upf
Ag 107.87 Ag.upf
CELL_PARAMETERS angstrom
1.8122 1.0463 10.6451
-1.8122 1.0463 10.6451
0.0000 -2.0925 10.6451
ATOMIC_POSITIONS angstrom
La 0.0000 0.0000 0.0000
Y 0.0000 0.0000 7.6393
Y 0.0000 0.0000 24.2960
Ag 0.0000 0.0000 15.9677
! Theoretical density (g/cm³): 5.8
! E (eV per formula unit): -20.73
! DOS(E_F) (states/eV per atom): 1.609

---

! GGA-PBE LaYAg, relaxed; values from VASP
&SYSTEM
  ibrav = 0, nat = 3, ntyp = 3
/
ATOMIC_SPECIES
La 138.91 La.upf
Y 88.91 Y.upf
Ag 107.87 Ag.upf
CELL_PARAMETERS angstrom
-1.8408 1.8408 6.5102
1.8408 -1.8408 6.5102
1.8408 1.8408 -6.5102
ATOMIC_POSITIONS angstrom
La 0.0000 0.0000 0.0000
Y 0.0000 0.0000 3.8287
Ag 0.0000 0.0000 8.6498
! Theoretical density (g/cm³): 6.3
! E (eV per formula unit): -14.73
! DOS(E_F) (states/eV per atom): 1.406

---

! GGA-PBE LaY2Ag4, relaxed; values from VASP
&SYSTEM
  ibrav = 0, nat = 7, ntyp = 3
/
ATOMIC_SPECIES
La 138.91 La.upf
Y 88.91 Y.upf
Ag 107.87 Ag.upf
CELL_PARAMETERS angstrom
-3.7603 3.7603 3.4006
3.7603 -3.7603 3.4006
3.7603 3.7603 -3.4006
ATOMIC_POSITIONS angstrom
La 0.0000 0.0000 0.0000
Y 3.7603 0.0000 0.0000
Y 0.0000 3.7603 0.0000
Ag 1.8801 1.8801 -1.7003
Ag 1.8801 -1.8801 1.7003
Ag -1.8801 1.8801 1.7003
Ag 1.8801 1.8801 1.7003
! Theoretical density (g/cm³): 6.5
! E (eV per formula unit): -29.82
! DOS(E_F) (states/eV per atom): 0.796

---

! GGA-PBE La2YAg4, relaxed; values from VASP
&SYSTEM
  ibrav = 0, nat = 7, ntyp = 3
/
ATOMIC_SPECIES
La 138.91 La.upf
Y 88.91 Y.upf
Ag 107.87 Ag.upf
CELL_PARAMETERS angstrom
-2.7423 2.7423 6.4773
2.7423 -2.7423 6.4773
2.7423 2.7423 -6.4773
ATOMIC_POSITIONS angstrom
La 0.0000 0.0000 2.7934
La 0.0000 0.0000 10.1611
Y 0.0000 0.0000 6.4773
Ag 2.7423 0.0000 1.4583
Ag 2.7423 0.0000 5.0190
Ag 0.0000 2.7423 1.4583
Ag 0.0000 2.7423 5.0190
! Theoretical density (g/cm³): 6.8
! E (eV per formula unit): -28.57
! DOS(E_F) (states/eV per atom): 1.011

---

! GGA-PBE La3Y4Ag, relaxed; values from VASP
&SYSTEM
  ibrav = 0, nat = 8, ntyp = 3
/
ATOMIC_SPECIES
La 138.91 La.upf
Y 88.91 Y.upf
Ag 107.87 Ag.upf
CELL_PARAMETERS angstrom
3.6960 0.0000 0.0000
0.0000 3.6960 0.0000
0.0000 0.0000 18.8215
ATOMIC_POSITIONS angstrom
La 0.0000 0.0000 0.0000
La 0.0000 0.0000 5.1085
La 0.0000 0.0000 13.7130
Y 1.8480 1.8480 2.5474
Y 1.8480 1.8480 7.6440
Y 1.8480 1.8480 11.1775
Y 1.8480 1.8480 16.2741
Ag 0.0000 0.0000 9.4107
! Theoretical density (g/cm³): 5.7
! E (eV per formula unit): -43.91
! DOS(E_F) (states/eV per atom): 1.623

---

E of number 5 (LaYAg)?
-14.73 eV per formula unit

---

Which formula does entry 4 have?
LaY2Ag

---

The lowest theoretical density belongs to which entry?
LaY3Ag